! PBE-GGA BeRuCl3, relaxed; values from VASP
! Total moment = 0.12 μB per atom
! Volume = 110 Å³ per cell
! Calculated total energy = -3.2793 eV per atom
! SG = Pm-3m, No. 221
&SYSTEM
  ibrav = 0, nat = 5, ntyp = 3
/
ATOMIC_SPECIES
Be 9.01 Be.upf
Ru 101.07 Ru.upf
Cl 35.45 Cl.upf
ATOMIC_POSITIONS angstrom
Be 0.000 0.000 0.000
Ru 2.396 2.396 2.396
Cl 0.000 2.396 2.396
Cl 2.396 0.000 2.396
Cl 2.396 2.396 0.000
CELL_PARAMETERS angstrom
4.791 0.000 0.000
0.000 4.791 0.000
0.000 0.000 4.791